VASP calculation (GGA+U) on a relaxed CsRbMnO3 crystal.

magnetic moment = 3.0 μB per formula unit
VASP energy = -5.406 eV per atom
SG = C2/c, No. 15

CIF file:
```
data_CsRbMnO3
_chemical_formula_sum 'Cs2 Rb2 Mn2 O6'
_cell_length_a 5.702
_cell_length_b 6.659
_cell_length_c 7.073
_cell_angle_alpha 61.92
_cell_angle_beta 89.83
_cell_angle_gamma 89.65
_symmetry_space_group_name_H-M 'P 1'
_symmetry_Int_Tables_number 1
_symmetry_space_group_name_Hall 'P 1'
loop_
_atom_site_label
_atom_site_type_symbol
_atom_site_fract_x
_atom_site_fract_y
_atom_site_fract_z
Mn1 Mn 0.250 0.964 0.072
Mn2 Mn 0.750 0.036 0.928
Rb1 Rb 0.250 0.591 0.819
Rb2 Rb 0.750 0.409 0.181
O1 O 0.500 0.815 0.998
O2 O 0.000 0.813 0.002
O3 O 0.750 0.181 0.638
O4 O 0.000 0.187 0.998
O5 O 0.250 0.819 0.362
O6 O 0.500 0.185 0.002
Cs1 Cs 0.250 0.239 0.522
Cs2 Cs 0.750 0.761 0.478
```